TaInCoOs | GGA-PBE | optimized geometry

```
TaInCoOs
1.0
-3.037 -1.917 -2.658
1.212 -1.582 -3.999
0.122 -4.409 -0.714
In Ta Os Co
1 1 1 1
Direct
0.750 0.750 0.750
0.250 0.250 0.250
0.500 0.500 0.500
0.000 0.000 0.000
```

* DFT formation energy: -0.15 eV per formula unit
* theoretical density: 14.35 Mg/m³
* space group: F-43m (216)
* magnetization: 1.05 μB/cell